Compound: KSrV
Source: Alexandria
Functional: GGA-PBE
Structure: optimized geometry

```
KSrV
1.0
3.925 0.000 0.000
-1.938 6.289 0.000
-1.920 -0.633 10.415
K Sr V
2 2 2
Cartesian
0.019 1.648 1.211 K
0.048 4.008 9.203 K
0.031 0.685 6.749 Sr
0.035 4.972 3.666 Sr
-1.924 3.385 5.937 V
1.991 2.271 4.477 V
```

Calculated values
* total moment: 0.11 μB/atom
* energy of formation from the pure elements: 0.63 eV/atom
* uncorrected energy: -3.3328 eV per atom


Compound: TlOsRh2
Source: Alexandria
Functional: GGA-PBE
Structure: optimized geometry

```
TlOsRh2
1.0
1.439 0.831 9.044
-1.439 0.831 9.044
0.000 -1.662 9.044
Tl Os Rh
1 1 2
Cartesian
0.000 0.000 0.000 Tl
0.000 0.000 13.565 Os
0.000 0.000 6.632 Rh
0.000 0.000 20.498 Rh
```

Calculated values
* total moment: 0.00 μB/atom
* energy of formation from the pure elements: 0.37 eV/atom
* uncorrected energy: -6.7040 eV per atom


Compound: Ac2ZrSn3Ir4
Source: Alexandria
Functional: GGA-PBE
Structure: optimized geometry

```
Ac2ZrSn3Ir4
1.0
4.476 0.000 0.000
0.000 4.476 0.000
0.000 0.000 11.478
Ac Zr Sn Ir
2 1 3 4
Cartesian
0.000 2.238 2.790 Ac
2.238 0.000 8.687 Ac
0.000 0.000 5.739 Zr
0.000 2.238 10.030 Sn
2.238 0.000 1.448 Sn
2.238 2.238 5.739 Sn
0.000 0.000 0.000 Ir
0.000 2.238 7.338 Ir
2.238 0.000 4.139 Ir
2.238 2.238 0.000 Ir
```

Calculated values
* total moment: 0.00 μB/atom
* energy of formation from the pure elements: -0.65 eV/atom
* uncorrected energy: -7.0753 eV per atom


Compound: DyPuFe
Source: Alexandria
Functional: GGA-PBE
Structure: optimized geometry

```
DyPuFe
1.0
4.516 0.000 0.000
-2.258 3.911 0.000
0.000 0.000 3.685
Dy Pu Fe
1 1 1
Cartesian
0.000 0.000 0.000 Dy
0.000 2.607 1.842 Pu
2.258 1.304 1.842 Fe
```

Calculated values
* total moment: 1.35 μB/atom
* energy of formation from the pure elements: 0.22 eV/atom
* uncorrected energy: -8.9167 eV per atom


Compound: Cr4InCl
Source: Alexandria
Functional: GGA-PBE
Structure: optimized geometry

```
Cr4InCl
1.0
0.000 3.532 3.532
3.532 0.000 3.532
3.532 3.532 0.000
Cr In Cl
4 1 1
Cartesian
2.693 2.693 2.693 Cr
4.371 4.371 2.693 Cr
4.371 2.693 4.371 Cr
2.693 4.371 4.371 Cr
0.000 0.000 0.000 In
5.298 5.298 5.298 Cl
```

Calculated values
* raw formation energy: 0.81 eV per atom
* total moment: 0.00 μB/atom
* uncorrected energy: -6.3747 eV per atom


Compound: Ac2Sn2Au5
Source: Alexandria
Functional: GGA-PBE
Structure: optimized geometry

```
Ac2Sn2Au5
1.0
4.994 0.000 0.000
0.000 4.994 0.000
0.000 0.000 9.345
Ac Sn Au
2 2 5
Cartesian
0.000 0.000 0.000 Ac
0.000 0.000 4.672 Ac
2.497 2.497 1.493 Sn
2.497 2.497 7.852 Sn
0.000 2.497 2.603 Au
0.000 2.497 6.742 Au
2.497 0.000 2.603 Au
2.497 0.000 6.742 Au
2.497 2.497 4.672 Au
```

Calculated values
* total moment: 0.00 μB/atom
* energy of formation from the pure elements: -0.49 eV/atom
* uncorrected energy: -4.1141 eV per atom


Compound: Tb2Pu3USe6
Source: Alexandria
Functional: GGA-PBE
Structure: optimized geometry

```
Tb2Pu3USe6
1.0
9.005 -2.040 0.000
9.005 2.040 0.000
-1.891 0.000 8.032
Tb Pu U Se
2 3 1 6
Cartesian
2.341 0.000 2.662 Tb
13.778 0.000 5.370 Tb
1.440 0.000 6.696 Pu
8.059 0.000 4.016 Pu
14.679 0.000 1.336 Pu
9.005 0.000 0.000 U
-0.467 0.000 2.003 Se
16.585 0.000 6.029 Se
5.174 0.000 3.362 Se
4.268 0.000 7.351 Se
11.850 0.000 0.681 Se
10.945 0.000 4.669 Se
```

Calculated values
* raw formation energy: -1.52 eV per atom
* total moment: 0.23 μB/atom
* uncorrected energy: -8.5618 eV per atom


Compound: K2CaIO4
Source: Alexandria
Functional: GGA-PBE
Structure: optimized geometry

```
K2CaIO4
1.0
-3.231 3.231 3.652
3.231 -3.231 3.652
3.231 3.231 -3.652
K Ca I O
2 1 1 4
Cartesian
0.000 0.000 0.000 K
0.000 3.231 1.826 K
0.000 0.000 3.652 Ca
3.231 0.000 1.826 I
1.758 2.201 -1.415 O
1.473 1.029 2.237 O
4.260 1.758 1.415 O
-1.029 1.473 5.066 O
```

Calculated values
* raw formation energy: -1.37 eV per atom
* total moment: 0.12 μB/atom
* uncorrected energy: -4.5636 eV per atom


Compound: NbSI
Source: Alexandria
Functional: GGA-PBE
Structure: optimized geometry

```
NbSI
1.0
3.603 0.000 0.000
0.000 4.824 0.000
-0.014 0.000 9.325
Nb S I
2 2 2
Cartesian
0.901 1.206 0.674 Nb
2.688 3.618 8.651 Nb
0.900 3.618 1.107 S
2.689 1.206 8.218 S
0.887 3.618 6.352 I
2.702 1.206 2.972 I
```

Calculated values
* raw formation energy: -0.77 eV per atom
* total moment: 0.00 μB/atom
* uncorrected energy: -6.0208 eV per atom


Compound: FeCu2TcBr
Source: Alexandria
Functional: GGA-PBE
Structure: optimized geometry

```
FeCu2TcBr
1.0
4.490 0.000 0.000
0.000 4.490 0.000
0.000 0.000 4.435
Fe Cu Tc Br
1 2 1 1
Cartesian
0.000 0.000 0.000 Fe
0.000 2.245 2.218 Cu
2.245 0.000 2.218 Cu
2.245 2.245 0.000 Tc
0.000 0.000 2.218 Br
```

Calculated values
* raw formation energy: 1.54 eV per atom
* total moment: 1.03 μB/atom
* uncorrected energy: -4.1996 eV per atom


Compound: AcTh2Bi
Source: Alexandria
Functional: GGA-PBE
Structure: optimized geometry

```
AcTh2Bi
1.0
4.994 0.000 0.000
0.000 4.994 0.000
0.000 0.000 5.328
Ac Th Bi
1 2 1
Cartesian
0.000 0.000 0.000 Ac
0.000 2.497 2.664 Th
2.497 0.000 2.664 Th
2.497 2.497 0.000 Bi
```

Calculated values
* total moment: 0.00 μB/atom
* energy of formation from the pure elements: -0.20 eV/atom
* uncorrected energy: -5.9058 eV per atom


Compound: LiPrSmSe3
Source: Alexandria
Functional: GGA-PBE
Structure: optimized geometry

```
LiPrSmSe3
1.0
8.622 0.000 0.000
0.000 4.069 0.000
-1.930 0.000 8.723
Li Pr Sm Se
2 2 2 6
Cartesian
0.574 1.017 0.739 Li
6.117 3.052 7.984 Li
0.204 1.017 6.312 Pr
6.488 3.052 2.411 Pr
2.250 3.052 2.932 Sm
4.441 1.017 5.791 Sm
0.097 1.017 3.221 Se
-0.069 3.052 8.695 Se
2.371 3.052 5.896 Se
4.321 1.017 2.827 Se
6.761 1.017 0.028 Se
6.595 3.052 5.502 Se
```

Calculated values
* raw formation energy: -1.68 eV per atom
* total moment: 0.00 μB/atom
* uncorrected energy: -5.3259 eV per atom